A plane-wave DFT calculation with PBE+U was carried out for a relaxed TmMnO2 crystal.

Total DFT energy (no corrections)   -7.950 eV/atom
N(E_F)   0.3 states/eV/f.u.
Spin magnetization   12.0 μB per cell

abc: 3.4892 3.4892 17.7538
angles: 90.00 90.00 120.00
Space group R-3m (No. 166, hexagonal axes)
Unique sites:
Tm 0.0000 0.0000 0.0000 [3 per cell]
Mn 0.0000 0.0000 0.5000 [3 per cell]
O 0.0000 0.0000 0.3909 [6 per cell]